First-principles (PBE) data for crystalline SrMg4Cd2Au at its relaxed geometry, as listed in the Alexandria database.

Its theoretical density is 5.06 g/cm³. For the density of states at the Fermi level, the calculation gives 3.601 states/eV/f.u. As for the total energy: -45.7 eV/cell.

Cell lengths 4.8666, 4.8666, 29.1093 Å; angles 90.00, 90.00, 120.00 degrees
Space group R-3m (No. 166, hexagonal axes)
One atom of each set of equivalent atoms:
1 Sr 0.0000 0.0000 0.0000 x3
2 Mg 0.0000 0.0000 0.1382 x6
3 Mg 0.0000 0.0000 0.4090 x6
4 Cd 0.0000 0.0000 0.2548 x6
5 Au 0.0000 0.0000 0.5000 x3